The following is a PBE calculation of an optimized crystal structure of OsRh2, from Alexandria.

ΔE_f = 28 meV per atom
Density of states at the Fermi level = 1.129 states/eV per atom
Energy above the most stable polymorph in this dataset = 0.04 eV/f.u.

Cell: 5.1891 5.1891 6.4459 Å, 103.78 103.78 30.45°
Sites, in units of the cell vectors:
Os 0.0267 0.0267 0.3069
Os 0.9733 0.9733 0.6931
Rh 0.3098 0.3098 0.3643
Rh 0.3651 0.3651 0.9720
Rh 0.6349 0.6349 0.0280
Rh 0.6902 0.6902 0.6357

The following is a PBE calculation of an optimized crystal structure of Ce3PmBi3, from Alexandria.

ΔE_f = -480 meV per atom
Density of states at the Fermi level = 2.477 states/eV per atom
Energy above the most stable polymorph in this dataset = 1.62 eV/f.u.

Cell: 9.3262 9.3262 5.8622 Å, 90.00 90.00 120.00°
Sites, in units of the cell vectors:
Ce 0.0156 0.7771 0.2500
Ce 0.2229 0.2385 0.2500
Ce 0.2385 0.0156 0.7500
Ce 0.7615 0.9844 0.2500
Ce 0.7771 0.7615 0.7500
Ce 0.9844 0.2229 0.7500
Pm 0.3333 0.6667 0.2500
Pm 0.6667 0.3333 0.7500
Bi 0.0682 0.6238 0.7500
Bi 0.3762 0.4444 0.7500
Bi 0.4444 0.0682 0.2500
Bi 0.5556 0.9318 0.7500
Bi 0.6238 0.5556 0.2500
Bi 0.9318 0.3762 0.2500

The following is a PBE calculation of an optimized crystal structure of LaTaSnBr2, from Alexandria.

Formation energy (no corrections) = 0.951 eV/atom
Density of states at the Fermi level = 1.423 states/eV per atom

Cell: 5.5474 5.5474 6.6403 Å, 90.00 90.00 90.00°
Sites, in units of the cell vectors:
La 0.0000 0.0000 0.0000
Ta 0.5000 0.5000 0.0000
Sn 0.0000 0.0000 0.5000
Br 0.0000 0.5000 0.5000
Br 0.5000 0.0000 0.5000

The following is a PBE calculation of an optimized crystal structure of AcRh4Se8, from Alexandria.

Formation energy (no corrections) = -0.652 eV/atom
Density of states at the Fermi level = 0.751 states/eV per atom

Cell: 7.8537 7.8537 7.8537 Å, 57.99 57.99 57.99°
Sites, in units of the cell vectors:
Ac 0.0000 0.0000 0.0000
Rh 0.0000 0.0000 0.5000
Rh 0.0000 0.5000 0.0000
Rh 0.5000 0.0000 0.0000
Rh 0.5000 0.5000 0.5000
Se 0.2314 0.2314 0.2314
Se 0.2366 0.7265 0.7265
Se 0.2735 0.2735 0.7634
Se 0.2735 0.7634 0.2735
Se 0.7265 0.2366 0.7265
Se 0.7265 0.7265 0.2366
Se 0.7634 0.2735 0.2735
Se 0.7686 0.7686 0.7686

The following is a PBE calculation of an optimized crystal structure of La2Tb2HoEr2, from Alexandria.

ΔE_f = 148 meV per atom
Density of states at the Fermi level = 1.798 states/eV per atom

Cell: 9.0482 9.0482 8.5654 Å, 116.52 116.52 22.21°
Sites, in units of the cell vectors:
La 0.1471 0.1471 0.3790
La 0.8529 0.8529 0.6210
Tb 0.0695 0.0695 0.9016
Tb 0.9305 0.9305 0.0984
Ho 0.5000 0.5000 0.5000
Er 0.2884 0.2884 0.1984
Er 0.7116 0.7116 0.8016

The following is a PBE calculation of an optimized crystal structure of TbDy2Cu6, from Alexandria.

ΔE_f = -260 meV per atom
Density of states at the Fermi level = 0.467 states/eV per atom

Cell: 7.3276 7.3276 3.5670 Å, 90.00 90.00 120.00°
Sites, in units of the cell vectors:
Tb 0.0000 0.0000 0.0000
Dy 0.3333 0.6667 0.0000
Dy 0.6667 0.3333 0.0000
Cu 0.0000 0.3337 0.5000
Cu 0.0000 0.6663 0.5000
Cu 0.3337 0.0000 0.5000
Cu 0.3337 0.3337 0.5000
Cu 0.6663 0.0000 0.5000
Cu 0.6663 0.6663 0.5000

Look up the density of states at the Fermi level of the third one.
1.423 states/eV per atom